VASP calculation (SCAN) on ZnCu2Tc at its PBEsol-relaxed geometry.

CIF file:
```
data_ZnCu2Tc
_space_group_name_H-M_alt 'C m m 2'
_space_group_IT_number 35
_cell_length_a 3.621
_cell_length_b 3.632
_cell_length_c 7.588
_cell_angle_alpha 90.00
_cell_angle_beta 90.00
_cell_angle_gamma 90.00
loop_
_space_group_symop_operation_xyz
'x,y,z'
'-x,-y,z'
'-x,y,z'
'x,-y,z'
'x+1/2,y+1/2,z'
'-x+1/2,-y+1/2,z'
'-x+1/2,y+1/2,z'
'x+1/2,-y+1/2,z'
loop_
_atom_site_label
_atom_site_fract_x
_atom_site_fract_y
_atom_site_fract_z
Zn1 0.000 0.000 0.000
Cu1 0.000 0.000 0.524
Cu2 0.000 0.500 0.758
Tc1 0.000 0.500 0.269
```

Values from the calculation:
Crystal system   orthorhombic
Calculated volume   12.47 A^3/atom
Density of states at the Fermi level   0.46 states/eV per atom
Formation energy   0.073 eV per atom
Total magnetic moment   0.0 μB per cell

***

VASP calculation (SCAN) on SiIrOs at its PBEsol-relaxed geometry.

CIF file:
```
data_SiIrOs
_space_group_name_H-M_alt 'F -4 3 m'
_space_group_IT_number 216
_space_group_name_Hall 'F -4 2 3'
_cell_length_a 5.783
_cell_length_b 5.783
_cell_length_c 5.783
_cell_angle_alpha 90.00
_cell_angle_beta 90.00
_cell_angle_gamma 90.00
loop_
_atom_site_label
_atom_site_fract_x
_atom_site_fract_y
_atom_site_fract_z
Si1 0.000 0.000 0.000
Ir1 0.000 0.000 0.500
Os1 0.250 0.250 0.250
```

Values from the calculation:
Crystal system   cubic
Calculated volume   16.12 A^3/atom
Density of states at the Fermi level   1.20 states/eV per atom
Total magnetic moment   0.0 μB per cell
ΔE_f (raw)   0.1251 eV/atom
Distance to the lowest polymorph of the same formula   332 meV per atom

***

VASP calculation (SCAN) on LaTlCl4 at its PBEsol-relaxed geometry.

CIF file:
```
data_LaTlCl4
_space_group_name_H-M_alt 'F -4 3 m'
_space_group_IT_number 216
_space_group_name_Hall 'F -4 2 3'
_cell_length_a 8.266
_cell_length_b 8.266
_cell_length_c 8.266
_cell_angle_alpha 90.00
_cell_angle_beta 90.00
_cell_angle_gamma 90.00
loop_
_atom_site_label
_atom_site_fract_x
_atom_site_fract_y
_atom_site_fract_z
La1 0.000 0.000 0.000
Tl1 0.250 0.250 0.750
Cl1 0.125 0.125 0.375
```

Values from the calculation:
Crystal system   cubic
Calculated volume   23.53 A^3/atom
Density of states at the Fermi level   0.49 states/eV per atom
Total magnetic moment   0.3 μB per cell
ΔE_f (raw)   -0.8701 eV/atom

***

VASP calculation (SCAN) on SrGaIN2 at its PBEsol-relaxed geometry.

CIF file:
```
data_SrGaIN2
_space_group_name_H-M_alt 'P 4/m m m'
_space_group_IT_number 123
_space_group_name_Hall '-P 4 2'
_cell_length_a 4.202
_cell_length_b 4.202
_cell_length_c 5.481
_cell_angle_alpha 90.00
_cell_angle_beta 90.00
_cell_angle_gamma 90.00
loop_
_atom_site_label
_atom_site_fract_x
_atom_site_fract_y
_atom_site_fract_z
Sr1 0.000 0.000 0.000
Ga1 0.500 0.500 0.500
I1 0.500 0.500 0.000
N1 0.000 0.500 0.500
```

Values from the calculation:
Crystal system   tetragonal
Calculated volume   19.36 A^3/atom
Density of states at the Fermi level   0.51 states/eV per atom
Total magnetic moment   2.0 μB per cell
ΔE_f (raw)   0.4687 eV/atom

***

Q: Which value of total magnetic moment does entry 4 give?
A: 2.0 μB per cell

***

Q: The lowest calculated volume belongs to which entry?
A: ZnCu2Tc